The following is a DFT calculation (PBE-GGA) of V2CoRuN after structural relaxation.

The theoretical density is 8.04 Mg/m³. As for the formation energy (no corrections): -414 meV/atom. The magnetization comes out at 0.00 μB per formula unit. The density of states at the Fermi level comes out at 3.720 states/eV per cell.

Lattice parameters (Å, degrees): 3.920 3.920 3.708 90.00 90.00 90.00
Space group P4/mmm (No. 123)
Asymmetric unit:
V 0.000 0.500 0.000 [2 per cell]
Co 0.000 0.000 0.500 [1 per cell]
Ru 0.500 0.500 0.500 [1 per cell]
N 0.000 0.000 0.000 [1 per cell]



The following is a DFT calculation (PBE-GGA) of Y2CoRuN after structural relaxation.

The theoretical density is 6.88 Mg/m³. As for the formation energy (no corrections): -592 meV/atom. The magnetization comes out at 1.20 μB per formula unit. The density of states at the Fermi level comes out at 3.322 states/eV per cell.

Lattice parameters (Å, degrees): 4.885 4.885 3.557 90.00 90.00 90.00
Space group P4/mmm (No. 123)
Asymmetric unit:
Y 0.000 0.500 0.000 [2 per cell]
Co 0.000 0.000 0.500 [1 per cell]
Ru 0.500 0.500 0.500 [1 per cell]
N 0.000 0.000 0.000 [1 per cell]



The following is a DFT calculation (PBE-GGA) of ZnCoRu2N after structural relaxation.

The theoretical density is 9.36 Mg/m³. As for the formation energy (no corrections): 66 meV/atom. The magnetization comes out at 0.00 μB per formula unit. The density of states at the Fermi level comes out at 4.739 states/eV per cell.

Lattice parameters (Å, degrees): 4.034 4.034 3.712 90.00 90.00 90.00
Space group P4/mmm (No. 123)
Asymmetric unit:
Zn 0.000 0.000 0.000 [1 per cell]
Co 0.500 0.500 0.000 [1 per cell]
Ru 0.000 0.500 0.500 [2 per cell]
N 0.500 0.500 0.500 [1 per cell]



The following is a DFT calculation (PBE-GGA) of ZnCoRuN2 after structural relaxation.

The theoretical density is 6.94 Mg/m³. As for the formation energy (no corrections): 1345 meV/atom. The magnetization comes out at 0.51 μB per formula unit. The density of states at the Fermi level comes out at 5.068 states/eV per cell.

Lattice parameters (Å, degrees): 3.623 3.623 4.618 90.00 90.00 90.00
Space group P4/mmm (No. 123)
Asymmetric unit:
Zn 0.000 0.000 0.000 [1 per cell]
Co 0.000 0.000 0.500 [1 per cell]
Ru 0.500 0.500 0.000 [1 per cell]
N 0.000 0.500 0.500 [2 per cell]



The following is a DFT calculation (PBE-GGA) of CoS2N after structural relaxation.

The theoretical density is 4.04 Mg/m³. As for the formation energy (no corrections): 703 meV/atom. The magnetization comes out at 0.00 μB per formula unit. The density of states at the Fermi level comes out at 4.736 states/eV per cell. As for the polymorph energy (0 for the lowest one): 479 meV per atom.

Lattice parameters (Å, degrees): 4.790 4.790 9.819 90.00 90.00 90.00
Space group I-42d (No. 122)
Asymmetric unit:
Co 0.000 0.000 0.000 [4 per cell]
S 0.244 0.250 0.625 [8 per cell]
N 0.000 0.000 0.500 [4 per cell]



The following is a DFT calculation (PBE-GGA) of CoS3N after structural relaxation.

The theoretical density is 4.20 Mg/m³. As for the formation energy (no corrections): 1292 meV/atom. The magnetization comes out at 2.45 μB per formula unit. The density of states at the Fermi level comes out at 4.494 states/eV per cell. As for the polymorph energy (0 for the lowest one): 0 meV per atom.

Lattice parameters (Å, degrees): 4.059 4.059 4.059 90.00 90.00 90.00
Space group Pm-3m (No. 221)
Asymmetric unit:
Co 0.000 0.000 0.000 [1 per cell]
S 0.000 0.500 0.500 [3 per cell]
N 0.500 0.500 0.500 [1 per cell]



The following is a DFT calculation (PBE-GGA) of CoS2N2 after structural relaxation.

The theoretical density is 2.49 Mg/m³. As for the formation energy (no corrections): -113 meV/atom. The magnetization comes out at 0.23 μB per formula unit. The density of states at the Fermi level comes out at 7.499 states/eV per cell. As for the polymorph energy (0 for the lowest one): 0 meV per atom.

Lattice parameters (Å, degrees): 5.644 3.257 10.984 90.00 92.19 90.00
Space group C2/m (No. 12)
Asymmetric unit:
Co 0.000 0.000 0.000 [2 per cell]
S 0.175 0.500 0.113 [4 per cell]
N 0.001 0.000 0.449 [4 per cell]



The following is a DFT calculation (PBE-GGA) of CoS2N2 after structural relaxation.

The theoretical density is 3.14 Mg/m³. As for the formation energy (no corrections): 1403 meV/atom. The magnetization comes out at 2.45 μB per formula unit. The density of states at the Fermi level comes out at 6.940 states/eV per cell. As for the polymorph energy (0 for the lowest one): 1516 meV per atom.

Lattice parameters (Å, degrees): 3.311 3.311 7.298 90.00 90.00 90.00
Space group P4/mmm (No. 123)
Asymmetric unit:
Co 0.000 0.000 0.000 [1 per cell]
S 0.500 0.500 0.000 [1 per cell]
S 0.500 0.500 0.500 [1 per cell]
N 0.000 0.500 0.500 [2 per cell]



The following is a DFT calculation (PBE-GGA) of CoS2N2 after structural relaxation.

The theoretical density is 2.64 Mg/m³. As for the formation energy (no corrections): 1124 meV/atom. The magnetization comes out at 0.00 μB per formula unit. The density of states at the Fermi level comes out at 4.063 states/eV per cell. As for the polymorph energy (0 for the lowest one): 1237 meV per atom.

Lattice parameters (Å, degrees): 3.435 3.435 8.045 90.00 90.00 90.00
Space group P4/mmm (No. 123)
Asymmetric unit:
Co 0.000 0.000 0.000 [1 per cell]
S 0.000 0.000 0.500 [1 per cell]
S 0.500 0.500 0.500 [1 per cell]
N 0.000 0.500 0.000 [2 per cell]



The following is a DFT calculation (PBE-GGA) of Co2SN after structural relaxation.

The theoretical density is 5.63 Mg/m³. As for the formation energy (no corrections): -114 meV/atom. The magnetization comes out at 0.00 μB per formula unit. The density of states at the Fermi level comes out at 17.742 states/eV per cell. As for the polymorph energy (0 for the lowest one): 0 meV per atom.

Lattice parameters (Å, degrees): 4.481 4.481 9.630 90.00 90.00 90.00
Space group I-42d (No. 122)
Asymmetric unit:
Co 0.179 0.250 0.125 [8 per cell]
S 0.000 0.000 0.500 [4 per cell]
N 0.000 0.000 0.000 [4 per cell]



The following is a DFT calculation (PBE-GGA) of CoS3N after structural relaxation.

The theoretical density is 3.51 Mg/m³. As for the formation energy (no corrections): 1639 meV/atom. The magnetization comes out at 0.00 μB per formula unit. The density of states at the Fermi level comes out at 8.078 states/eV per cell. As for the polymorph energy (0 for the lowest one): 346 meV per atom.

Lattice parameters (Å, degrees): 4.311 4.311 4.311 90.00 90.00 90.00
Space group Pm-3m (No. 221)
Asymmetric unit:
Co 0.000 0.000 0.000 [1 per cell]
S 0.000 0.000 0.500 [3 per cell]
N 0.500 0.500 0.500 [1 per cell]



The following is a DFT calculation (PBE-GGA) of CoS2N2 after structural relaxation.

The theoretical density is 3.56 Mg/m³. As for the formation energy (no corrections): 1655 meV/atom. The magnetization comes out at 0.58 μB per formula unit. The density of states at the Fermi level comes out at 4.022 states/eV per cell. As for the polymorph energy (0 for the lowest one): 1768 meV per atom.

Lattice parameters (Å, degrees): 4.595 4.595 3.342 90.00 90.00 90.00
Space group P4/mmm (No. 123)
Asymmetric unit:
Co 0.000 0.000 0.000 [1 per cell]
S 0.000 0.500 0.000 [2 per cell]
N 0.000 0.000 0.500 [1 per cell]
N 0.500 0.500 0.500 [1 per cell]



- What is the formula in the tenth record?
  Co2SN



- formation energy (no corrections) of number 7 (CoS2N2)?
  -113 meV/atom



- Look up the formation energy (no corrections) of the eighth one.
  1403 meV/atom



- Which of these has the lowest theoretical density?
  number 7